[1]
Computed, not measured: crystalline LiOsSe2 at its relaxed geometry at the PBE-GGA level of DFT.

Geometry as POSCAR:
```
LiOsSe2
1.0
3.989 -1.593 0.000
3.989 1.593 0.000
-1.008 0.000 6.003
Li Os Se
1 1 2
direct
0.000 0.000 0.000
0.125 0.125 0.485
0.394 0.394 0.340
0.690 0.690 0.802
```

Calculated values
- Theoretical density: 7.7 g/cm³
- Space-group type: Cm
- Volume: 76 Å³ per cell
- E_tot: -20.73 eV per cell
- Size of the total moment: 0.00 μB/f.u.
- Energy relative to the elements, uncorrected: -0.15 eV/atom



[2]
Computed, not measured: crystalline LiOs3Se at its relaxed geometry at the PBE-GGA level of DFT.

Geometry as POSCAR:
```
LiOs3Se
1.0
4.545 0.000 0.000
0.000 4.545 0.000
0.000 0.000 4.545
Li Os Se
1 3 1
direct
0.000 0.000 0.000
0.000 0.500 0.500
0.500 0.000 0.500
0.500 0.500 0.000
0.500 0.500 0.500
```

Calculated values
- Theoretical density: 11.6 g/cm³
- Space-group type: Pm-3m
- ΔE to the lowest computed polymorph: 0.000 eV/atom
- Volume: 94 Å³ per cell
- E_tot: -31.00 eV per cell
- Size of the total moment: 0.91 μB/f.u.
- Energy relative to the elements, uncorrected: 1.62 eV/atom



[3]
Computed, not measured: crystalline Li2OsSe at its relaxed geometry at the PBE-GGA level of DFT.

Geometry as POSCAR:
```
Li2OsSe
1.0
-1.889 1.889 3.762
1.889 -1.889 3.762
1.889 1.889 -3.762
Li Os Se
2 1 1
direct
0.000 0.000 0.000
0.750 0.250 0.500
0.250 0.750 0.500
0.500 0.500 0.000
```

Calculated values
- Theoretical density: 8.8 g/cm³
- Space-group type: I-4m2
- Volume: 54 Å³ per cell
- E_tot: -18.19 eV per cell
- Size of the total moment: 0.00 μB/f.u.
- Energy relative to the elements, uncorrected: 0.09 eV/atom



[4]
Computed, not measured: crystalline LiOsSe2 at its relaxed geometry at the PBE-GGA level of DFT.

Geometry as POSCAR:
```
LiOsSe2
1.0
2.999 0.000 0.000
0.000 3.696 0.000
-0.620 0.000 6.719
Li Os Se
1 1 2
direct
0.000 0.000 0.000
0.500 0.000 0.500
0.440 0.500 0.260
0.560 0.500 0.740
```

Calculated values
- Theoretical density: 7.9 g/cm³
- Space-group type: P2/m
- Volume: 74 Å³ per cell
- E_tot: -20.26 eV per cell
- Size of the total moment: 0.00 μB/f.u.
- Energy relative to the elements, uncorrected: -0.04 eV/atom



[5]
Computed, not measured: crystalline Li2OsSe at its relaxed geometry at the PBE-GGA level of DFT.

Geometry as POSCAR:
```
Li2OsSe
1.0
-3.695 3.695 2.360
3.695 -3.695 2.360
3.695 3.695 -2.360
Li Os Se
4 2 2
direct
0.099 0.625 0.974
0.375 0.349 0.474
0.651 0.125 0.026
0.875 0.901 0.526
0.250 0.750 0.500
0.500 0.500 0.000
0.000 0.000 0.000
0.750 0.250 0.500
```

Calculated values
- Theoretical density: 7.3 g/cm³
- Space-group type: I-42d
- Volume: 129 Å³ per cell
- E_tot: -34.96 eV per cell
- Size of the total moment: 0.98 μB/f.u.
- Energy relative to the elements, uncorrected: 0.27 eV/atom



[6]
Computed, not measured: crystalline LiOsSe2 at its relaxed geometry at the PBE-GGA level of DFT.

Geometry as POSCAR:
```
LiOsSe2
1.0
3.156 0.000 0.000
0.000 3.156 0.000
0.000 0.000 7.137
Li Os Se
1 1 2
direct
0.000 0.000 0.000
0.500 0.500 0.220
0.000 0.000 0.399
0.500 0.500 0.858
```

Calculated values
- Theoretical density: 8.3 g/cm³
- Space-group type: P4mm
- Volume: 71 Å³ per cell
- E_tot: -20.42 eV per cell
- Size of the total moment: 0.00 μB/f.u.
- Energy relative to the elements, uncorrected: -0.08 eV/atom



[7]
Computed, not measured: crystalline LiOsSe2 at its relaxed geometry at the PBE-GGA level of DFT.

Geometry as POSCAR:
```
LiOsSe2
1.0
1.907 1.101 5.933
-1.907 1.101 5.933
0.000 -2.201 5.933
Li Os Se
1 1 2
direct
0.000 0.000 0.000
0.500 0.500 0.500
0.238 0.238 0.238
0.762 0.762 0.762
```

Calculated values
- Theoretical density: 7.9 g/cm³
- Space-group type: R-3m
- Volume: 75 Å³ per cell
- E_tot: -21.15 eV per cell
- Size of the total moment: 0.64 μB/f.u.
- Energy relative to the elements, uncorrected: -0.26 eV/atom



[8]
Computed, not measured: crystalline LiOs4Se at its relaxed geometry at the PBE-GGA level of DFT.

Geometry as POSCAR:
```
LiOs4Se
1.0
0.000 3.671 3.671
3.671 0.000 3.671
3.671 3.671 0.000
Li Os Se
1 4 1
direct
0.000 0.000 0.000
0.125 0.625 0.625
0.625 0.125 0.625
0.625 0.625 0.125
0.625 0.625 0.625
0.250 0.250 0.250
```

Calculated values
- Theoretical density: 14.2 g/cm³
- Space-group type: F-43m
- Volume: 99 Å³ per cell
- E_tot: -45.00 eV per cell
- Size of the total moment: 0.00 μB/f.u.
- Energy relative to the elements, uncorrected: 0.89 eV/atom



[9]
Computed, not measured: crystalline Li2OsSe at its relaxed geometry at the PBE-GGA level of DFT.

Geometry as POSCAR:
```
Li2OsSe
1.0
3.149 0.000 0.000
0.000 3.149 0.000
0.000 0.000 5.833
Li Os Se
2 1 1
direct
0.000 0.000 0.000
0.500 0.500 0.250
0.000 0.000 0.508
0.500 0.500 0.732
```

Calculated values
- Theoretical density: 8.1 g/cm³
- Space-group type: P4mm
- Volume: 58 Å³ per cell
- E_tot: -18.37 eV per cell
- Size of the total moment: 0.00 μB/f.u.
- Energy relative to the elements, uncorrected: 0.04 eV/atom



[10]
Computed, not measured: crystalline LiOsSe at its relaxed geometry at the PBE-GGA level of DFT.

Geometry as POSCAR:
```
LiOsSe
1.0
4.146 0.000 0.000
-2.073 3.591 0.000
0.000 0.000 3.153
Li Os Se
1 1 1
direct
0.000 0.000 0.000
0.333 0.667 0.500
0.667 0.333 0.500
```

Calculated values
- Theoretical density: 9.8 g/cm³
- Space-group type: P-6m2
- ΔE to the lowest computed polymorph: 0.047 eV/atom
- Volume: 47 Å³ per cell
- E_tot: -16.13 eV per cell
- Size of the total moment: 0.00 μB/f.u.
- Energy relative to the elements, uncorrected: 0.17 eV/atom



[11]
Computed, not measured: crystalline LiOsSe2 at its relaxed geometry at the PBE-GGA level of DFT.

Geometry as POSCAR:
```
LiOsSe2
1.0
-2.929 2.929 5.432
2.929 -2.929 5.432
2.929 2.929 -5.432
Li Os Se
2 2 4
direct
0.000 0.000 0.000
0.750 0.250 0.500
0.250 0.750 0.500
0.500 0.500 0.000
0.155 0.625 0.030
0.375 0.405 0.530
0.595 0.125 0.970
0.875 0.845 0.470
```

Calculated values
- Theoretical density: 6.3 g/cm³
- Space-group type: I-42d
- Volume: 186 Å³ per cell
- E_tot: -41.48 eV per cell
- Size of the total moment: 0.00 μB/f.u.
- Energy relative to the elements, uncorrected: -0.16 eV/atom



[12]
Computed, not measured: crystalline LiOsSe2 at its relaxed geometry at the PBE-GGA level of DFT.

Geometry as POSCAR:
```
LiOsSe2
1.0
-1.865 1.865 4.645
1.865 -1.865 4.645
1.865 1.865 -4.645
Li Os Se
1 1 2
direct
0.000 0.000 0.000
0.250 0.750 0.500
0.500 0.500 0.000
0.750 0.250 0.500
```

Calculated values
- Theoretical density: 9.1 g/cm³
- Space-group type: I-4m2
- Volume: 65 Å³ per cell
- E_tot: -18.63 eV per cell
- Size of the total moment: 0.00 μB/f.u.
- Energy relative to the elements, uncorrected: 0.37 eV/atom



- Which of these has the lowest E_tot?
  LiOs4Se